Density functional theory data (GGA-PBE) for a relaxed Hf2Ga3Os crystal.

Lattice parameters (Å, degrees): 4.567 5.404 5.684 118.38 113.69 90.00
Sites, in units of the cell vectors:
Ga 0.000 0.000 0.000
Ga 0.354 0.354 0.707
Ga 0.646 0.646 0.293
Os 0.000 0.500 0.000
Hf 0.684 0.184 0.368
Hf 0.316 0.816 0.632

Computed properties:
E_tot: -6.69 eV/atom
SG: No. 71
DOS(E_F): 5.07 states/eV/f.u.
Total magnetic moment: 0.00 μB/f.u.